[1]
A plane-wave DFT calculation with PBE was carried out for a relaxed structure of Pm4Bi2O.

Formation energy from raw total energies (eV/atom): -1.3013
Total energy (eV/cell): -81.7
Energy above the lowest structure with this stoichiometry (meV/atom): 0

a = 6.604 Å, b = 6.814 Å, c = 9.500 Å
α = 90.00°, β = 108.66°, γ = 90.00°
Atoms (fractional coordinates):
Bi (0.300, 0.250, 0.978)
Bi (0.700, 0.750, 0.022)
Bi (0.144, 0.250, 0.394)
Bi (0.856, 0.750, 0.606)
Pm (0.167, 0.750, 0.959)
Pm (0.542, 0.498, 0.303)
Pm (0.929, 0.250, 0.663)
Pm (0.458, 0.502, 0.697)
Pm (0.542, 0.002, 0.303)
Pm (0.458, 0.998, 0.697)
Pm (0.833, 0.250, 0.041)
Pm (0.071, 0.750, 0.337)
O (0.309, 0.750, 0.212)
O (0.691, 0.250, 0.788)



[2]
A plane-wave DFT calculation with PBE was carried out for a relaxed structure of Pm3BiO4.

Formation energy from raw total energies (eV/atom): -2.7883
Total energy (eV/cell): -60.3

a = 3.997 Å, b = 3.997 Å, c = 10.497 Å
α = 90.00°, β = 90.00°, γ = 90.00°
Atoms (fractional coordinates):
O (0.000, 0.500, 0.862)
O (0.000, 0.500, 0.138)
O (0.500, 0.000, 0.138)
O (0.500, 0.000, 0.862)
Pm (0.500, 0.500, 0.234)
Pm (0.500, 0.500, 0.766)
Pm (0.000, 0.000, 0.000)
Bi (0.000, 0.000, 0.500)



[3]
A plane-wave DFT calculation with PBE was carried out for a relaxed structure of Pm5Bi4O.

Formation energy from raw total energies (eV/atom): -1.1413
Total energy (eV/cell): -55.6

a = 6.448 Å, b = 7.657 Å, c = 7.657 Å
α = 79.79°, β = 65.10°, γ = 65.10°
Atoms (fractional coordinates):
Pm (0.905, 0.371, 0.826)
Pm (0.276, 0.826, 0.629)
Pm (0.731, 0.174, 0.371)
Pm (0.102, 0.629, 0.174)
Pm (0.410, 0.000, 0.000)
O (0.069, 0.000, 0.000)
Bi (0.592, 0.608, 0.217)
Bi (0.809, 0.783, 0.608)
Bi (0.200, 0.217, 0.392)
Bi (0.417, 0.392, 0.783)



[4]
A plane-wave DFT calculation with PBE was carried out for a relaxed structure of Pm3BiO7.

Formation energy from raw total energies (eV/atom): -2.6665
Total energy (eV/cell): -164.3

a = 6.737 Å, b = 6.737 Å, c = 7.877 Å
α = 90.00°, β = 90.00°, γ = 109.61°
Atoms (fractional coordinates):
Pm (0.469, 0.000, 0.750)
Pm (0.000, 0.469, 0.250)
Pm (0.531, 0.000, 0.250)
Pm (0.499, 0.499, 0.500)
Pm (0.501, 0.501, 0.000)
Pm (0.000, 0.531, 0.750)
Bi (0.000, 0.000, 0.500)
Bi (0.000, 0.000, 0.000)
O (0.364, 0.636, 0.750)
O (0.636, 0.364, 0.250)
O (0.669, 0.920, 0.529)
O (0.080, 0.331, 0.529)
O (0.630, 0.370, 0.750)
O (0.370, 0.630, 0.250)
O (0.669, 0.920, 0.971)
O (0.920, 0.669, 0.029)
O (0.080, 0.920, 0.750)
O (0.080, 0.331, 0.971)
O (0.920, 0.669, 0.471)
O (0.331, 0.080, 0.471)
O (0.331, 0.080, 0.029)
O (0.920, 0.080, 0.250)



[5]
A plane-wave DFT calculation with PBE was carried out for a relaxed structure of PmBi2O5.

Formation energy from raw total energies (eV/atom): -1.5892
Total energy (eV/cell): -100.0

a = 6.495 Å, b = 6.495 Å, c = 7.133 Å
α = 117.08°, β = 117.08°, γ = 90.00°
Atoms (fractional coordinates):
Bi (0.668, 0.168, 0.000)
Bi (0.332, 0.832, 0.000)
Bi (0.832, 0.668, 0.000)
Bi (0.168, 0.332, 0.000)
O (0.000, 0.000, 0.000)
O (0.183, 0.026, 0.709)
O (0.317, 0.817, 0.291)
O (0.026, 0.526, 0.709)
O (0.974, 0.474, 0.291)
O (0.526, 0.683, 0.709)
O (0.474, 0.317, 0.291)
O (0.500, 0.500, 0.000)
O (0.817, 0.974, 0.291)
O (0.683, 0.183, 0.709)
Pm (0.250, 0.250, 0.500)
Pm (0.750, 0.750, 0.500)



[6]
A plane-wave DFT calculation with PBE was carried out for a relaxed structure of Pm4Bi3O2.

Formation energy from raw total energies (eV/atom): -1.7468
Total energy (eV/cell): -112.6
Energy above the lowest structure with this stoichiometry (meV/atom): 12

a = 6.670 Å, b = 8.814 Å, c = 8.814 Å
α = 71.01°, β = 85.29°, γ = 85.29°
Atoms (fractional coordinates):
O (0.577, 0.847, 0.598)
O (0.923, 0.402, 0.153)
O (0.423, 0.153, 0.402)
O (0.077, 0.598, 0.847)
Pm (0.914, 0.769, 0.619)
Pm (0.512, 0.083, 0.668)
Pm (0.414, 0.619, 0.769)
Pm (0.488, 0.917, 0.332)
Pm (0.086, 0.231, 0.381)
Pm (0.012, 0.668, 0.083)
Pm (0.586, 0.381, 0.231)
Pm (0.988, 0.332, 0.917)
Bi (0.250, 0.521, 0.479)
Bi (0.516, 0.766, 0.031)
Bi (0.750, 0.479, 0.521)
Bi (0.984, 0.969, 0.234)
Bi (0.016, 0.031, 0.766)
Bi (0.484, 0.234, 0.969)



[7]
A plane-wave DFT calculation with PBE was carried out for a relaxed structure of Pm6Bi5O.

Formation energy from raw total energies (eV/atom): -1.0540
Total energy (eV/cell): -65.5

a = 7.797 Å, b = 7.706 Å, c = 7.793 Å
α = 60.37°, β = 80.93°, γ = 71.41°
Atoms (fractional coordinates):
Pm (0.741, 0.094, 0.340)
Pm (0.741, 0.433, 0.660)
Pm (0.259, 0.567, 0.340)
Pm (0.259, 0.906, 0.660)
Pm (0.183, 0.185, 0.000)
Pm (0.817, 0.815, 0.000)
Bi (0.500, 0.500, 0.000)
Bi (0.500, 0.840, 0.319)
Bi (0.000, 0.665, 0.671)
Bi (0.500, 0.160, 0.681)
Bi (0.000, 0.335, 0.329)
O (0.000, 0.000, 0.000)



[8]
A plane-wave DFT calculation with PBE was carried out for a relaxed structure of Pm12Bi3O5.

Formation energy from raw total energies (eV/atom): -1.6033
Total energy (eV/cell): -502.0

a = 14.007 Å, b = 14.007 Å, c = 14.007 Å
α = 109.47°, β = 109.47°, γ = 109.47°
Atoms (fractional coordinates):
O (0.000, 0.500, 0.000)
O (0.500, 0.500, 0.500)
O (0.625, 0.750, 0.875)
O (0.000, 0.000, 0.500)
O (0.750, 0.125, 0.875)
O (0.375, 0.250, 0.125)
O (0.875, 0.625, 0.750)
O (0.250, 0.875, 0.125)
O (0.500, 0.500, 0.000)
O (0.500, 0.000, 0.000)
O (0.500, 0.000, 0.500)
O (0.000, 0.000, 0.000)
O (0.125, 0.375, 0.250)
O (0.750, 0.625, 0.375)
O (0.375, 0.125, 0.750)
O (0.250, 0.375, 0.625)
O (0.875, 0.250, 0.625)
O (0.625, 0.875, 0.250)
O (0.000, 0.500, 0.500)
O (0.125, 0.750, 0.375)
Pm (0.194, 0.688, 0.088)
Pm (0.588, 0.894, 0.400)
Pm (0.506, 0.194, 0.106)
Pm (0.806, 0.494, 0.394)
Pm (0.900, 0.812, 0.506)
Pm (0.912, 0.812, 0.806)
Pm (0.894, 0.588, 0.900)
Pm (0.400, 0.394, 0.588)
Pm (0.106, 0.412, 0.100)
Pm (0.106, 0.694, 0.506)
Pm (0.306, 0.412, 0.812)
Pm (0.506, 0.312, 0.900)
Pm (0.394, 0.400, 0.088)
Pm (0.600, 0.994, 0.688)
Pm (0.312, 0.506, 0.400)
Pm (0.912, 0.100, 0.606)
Pm (0.088, 0.900, 0.394)
Pm (0.994, 0.600, 0.188)
Pm (0.688, 0.194, 0.588)
Pm (0.100, 0.188, 0.494)
Pm (0.394, 0.994, 0.806)
Pm (0.588, 0.694, 0.688)
Pm (0.994, 0.394, 0.306)
Pm (0.600, 0.606, 0.412)
Pm (0.188, 0.088, 0.694)
Pm (0.694, 0.106, 0.006)
Pm (0.412, 0.106, 0.600)
Pm (0.894, 0.306, 0.494)
Pm (0.494, 0.688, 0.100)
Pm (0.694, 0.588, 0.188)
Pm (0.806, 0.312, 0.912)
Pm (0.006, 0.606, 0.694)
Pm (0.088, 0.188, 0.194)
Pm (0.312, 0.806, 0.412)
Pm (0.400, 0.006, 0.312)
Pm (0.812, 0.900, 0.006)
Pm (0.100, 0.912, 0.106)
Pm (0.688, 0.494, 0.600)
Pm (0.606, 0.600, 0.912)
Pm (0.606, 0.006, 0.194)
Pm (0.812, 0.912, 0.306)
Pm (0.194, 0.506, 0.606)
Pm (0.188, 0.100, 0.994)
Pm (0.900, 0.088, 0.894)
Pm (0.412, 0.306, 0.312)
Pm (0.494, 0.806, 0.894)
Pm (0.306, 0.894, 0.994)
Pm (0.006, 0.400, 0.812)
Bi (0.875, 0.125, 0.250)
Bi (0.875, 0.750, 0.125)
Bi (0.125, 0.875, 0.750)
Bi (0.625, 0.250, 0.375)
Bi (0.375, 0.750, 0.625)
Bi (0.250, 0.625, 0.875)
Bi (0.750, 0.375, 0.125)
Bi (0.125, 0.250, 0.875)
Bi (0.750, 0.875, 0.625)
Bi (0.625, 0.375, 0.750)
Bi (0.250, 0.125, 0.375)
Bi (0.375, 0.625, 0.250)



[9]
A plane-wave DFT calculation with PBE was carried out for a relaxed structure of PmBiO3.

Formation energy from raw total energies (eV/atom): -2.2331
Total energy (eV/cell): -138.7

a = 6.841 Å, b = 6.569 Å, c = 7.573 Å
α = 90.00°, β = 96.66°, γ = 90.00°
Atoms (fractional coordinates):
Bi (0.901, 0.278, 0.562)
Bi (0.099, 0.722, 0.438)
Bi (0.901, 0.222, 0.062)
Bi (0.099, 0.778, 0.938)
O (0.794, 0.604, 0.473)
O (0.542, 0.347, 0.142)
O (0.206, 0.104, 0.027)
O (0.206, 0.396, 0.527)
O (0.987, 0.925, 0.678)
O (0.542, 0.153, 0.642)
O (0.458, 0.847, 0.358)
O (0.794, 0.896, 0.973)
O (0.013, 0.425, 0.822)
O (0.458, 0.653, 0.858)
O (0.987, 0.575, 0.178)
O (0.013, 0.075, 0.322)
Pm (0.359, 0.177, 0.334)
Pm (0.641, 0.677, 0.166)
Pm (0.359, 0.323, 0.834)
Pm (0.641, 0.823, 0.666)



[10]
A plane-wave DFT calculation with PBE was carried out for a relaxed structure of Pm6BiO12.

Formation energy from raw total energies (eV/atom): -2.8896
Total energy (eV/cell): -146.8

a = 6.758 Å, b = 6.758 Å, c = 6.758 Å
α = 98.91°, β = 98.91°, γ = 98.91°
Site moments in Bohr magnetons follow the coordinates.
Atoms (fractional coordinates):
O (0.933, 0.690, 0.048)  0.01
O (0.952, 0.067, 0.310)  0.01
O (0.690, 0.048, 0.933)  0.01
O (0.413, 0.562, 0.822)  0.15
O (0.067, 0.310, 0.952)  0.01
O (0.562, 0.822, 0.413)  0.15
O (0.822, 0.413, 0.562)  0.15
O (0.438, 0.178, 0.587)  0.15
O (0.048, 0.933, 0.690)  0.01
O (0.587, 0.438, 0.178)  0.15
O (0.178, 0.587, 0.438)  0.15
O (0.310, 0.952, 0.067)  0.01
Pm (0.303, 0.610, 0.141)  0.00
Pm (0.859, 0.697, 0.390)  0.00
Pm (0.697, 0.390, 0.859)  0.00
Pm (0.141, 0.303, 0.610)  0.00
Pm (0.610, 0.141, 0.303)  0.00
Pm (0.390, 0.859, 0.697)  0.00
Bi (0.000, 0.000, 0.000)  0.00



[11]
A plane-wave DFT calculation with PBE was carried out for a relaxed structure of Pm3BiO3.

Formation energy from raw total energies (eV/atom): -2.5638
Total energy (eV/cell): -101.9
Energy above the lowest structure with this stoichiometry (meV/atom): 21

a = 4.506 Å, b = 8.863 Å, c = 8.863 Å
α = 120.00°, β = 90.00°, γ = 90.00°
Atoms (fractional coordinates):
Pm (0.250, 0.736, 0.057)
Pm (0.250, 0.943, 0.679)
Pm (0.750, 0.679, 0.736)
Pm (0.250, 0.321, 0.264)
Pm (0.750, 0.264, 0.943)
Pm (0.750, 0.057, 0.321)
O (0.250, 0.030, 0.238)
O (0.250, 0.208, 0.970)
O (0.750, 0.970, 0.762)
O (0.750, 0.792, 0.030)
O (0.250, 0.762, 0.792)
O (0.750, 0.238, 0.208)
Bi (0.750, 0.667, 0.333)
Bi (0.250, 0.333, 0.667)



[12]
A plane-wave DFT calculation with PBE was carried out for a relaxed structure of Pm4Bi2O.

Formation energy from raw total energies (eV/atom): -1.1587
Total energy (eV/cell): -39.8
Energy above the lowest structure with this stoichiometry (meV/atom): 143

a = 4.644 Å, b = 4.644 Å, c = 10.296 Å
α = 76.97°, β = 76.97°, γ = 90.00°
Atoms (fractional coordinates):
Bi (0.843, 0.843, 0.315)
Bi (0.157, 0.157, 0.685)
Pm (0.674, 0.674, 0.652)
Pm (0.000, 0.500, 0.000)
Pm (0.326, 0.326, 0.348)
Pm (0.500, 0.000, 0.000)
O (0.000, 0.000, 0.000)



[13]
A plane-wave DFT calculation with PBE was carried out for a relaxed structure of Pm3BiO3.

Formation energy from raw total energies (eV/atom): -2.5850
Total energy (eV/cell): -102.2
Energy above the lowest structure with this stoichiometry (meV/atom): 0

a = 6.895 Å, b = 6.895 Å, c = 8.681 Å
α = 66.60°, β = 66.60°, γ = 60.00°
Atoms (fractional coordinates):
Pm (0.546, 0.900, 0.308)
Pm (0.246, 0.546, 0.308)
Pm (0.900, 0.246, 0.308)
Pm (0.454, 0.100, 0.692)
Pm (0.754, 0.454, 0.692)
Pm (0.100, 0.754, 0.692)
O (0.445, 0.805, 0.617)
O (0.555, 0.195, 0.383)
O (0.805, 0.133, 0.617)
O (0.133, 0.445, 0.617)
O (0.195, 0.867, 0.383)
O (0.867, 0.555, 0.383)
Bi (0.333, 0.333, 0.000)
Bi (0.667, 0.667, 0.000)



[14]
A plane-wave DFT calculation with PBE was carried out for a relaxed structure of PmBiO3.

Formation energy from raw total energies (eV/atom): -2.1895
Total energy (eV/cell): -137.8

a = 6.338 Å, b = 6.338 Å, c = 10.445 Å
α = 70.32°, β = 70.32°, γ = 59.18°
Atoms (fractional coordinates):
O (0.650, 0.235, 0.054)
O (0.773, 0.909, 0.786)
O (0.350, 0.765, 0.946)
O (0.406, 0.220, 0.398)
O (0.780, 0.594, 0.102)
O (0.220, 0.406, 0.898)
O (0.235, 0.650, 0.554)
O (0.909, 0.773, 0.286)
O (0.765, 0.350, 0.446)
O (0.091, 0.227, 0.714)
O (0.227, 0.091, 0.214)
O (0.594, 0.780, 0.602)
Bi (0.500, 0.000, 0.000)
Bi (0.801, 0.199, 0.250)
Bi (0.199, 0.801, 0.750)
Bi (0.000, 0.500, 0.500)
Pm (0.477, 0.823, 0.382)
Pm (0.523, 0.177, 0.618)
Pm (0.823, 0.477, 0.882)
Pm (0.177, 0.523, 0.118)



[15]
A plane-wave DFT calculation with PBE was carried out for a relaxed structure of PmBi3O6.

Formation energy from raw total energies (eV/atom): -1.7297
Total energy (eV/cell): -126.9
Energy above the lowest structure with this stoichiometry (meV/atom): 8

a = 5.937 Å, b = 6.447 Å, c = 8.680 Å
α = 90.00°, β = 89.81°, γ = 90.00°
Atoms (fractional coordinates):
O (0.160, 0.067, 0.752)
O (0.657, 0.180, 0.575)
O (0.840, 0.933, 0.248)
O (0.660, 0.433, 0.252)
O (0.340, 0.567, 0.748)
O (0.340, 0.827, 0.069)
O (0.843, 0.680, 0.925)
O (0.160, 0.327, 0.431)
O (0.157, 0.320, 0.075)
O (0.343, 0.820, 0.425)
O (0.840, 0.673, 0.569)
O (0.660, 0.173, 0.931)
Pm (0.500, 0.500, 0.500)
Pm (0.000, 0.000, 0.000)
Bi (0.488, 0.029, 0.249)
Bi (0.988, 0.471, 0.749)
Bi (0.012, 0.529, 0.251)
Bi (0.512, 0.971, 0.751)
Bi (0.500, 0.500, 0.000)
Bi (0.000, 0.000, 0.500)



[16]
A plane-wave DFT calculation with PBE was carried out for a relaxed structure of PmBi2PtO6.

Formation energy from raw total energies (eV/atom): -1.4236
Total energy (eV/cell): -62.5

a = 6.301 Å, b = 5.701 Å, c = 6.371 Å
α = 61.92°, β = 57.23°, γ = 61.82°
Site moments in Bohr magnetons follow the coordinates.
Atoms (fractional coordinates):
O (0.964, 0.578, 0.261)  0.01
O (0.128, 0.449, 0.742)  0.18
O (0.635, 0.158, 0.749)  0.01
O (0.170, 0.984, 0.215)  0.01
O (0.435, 0.675, 0.804)  0.01
O (0.639, 0.167, 0.273)  0.07
Pm (0.816, 0.791, 0.586)  0.02
Bi (0.032, 0.017, 0.942)  0.00
Bi (0.541, 0.508, 0.413)  0.00
Pt (0.301, 0.334, 0.030)  0.56